No. 1
Entry from Alexandria: an optimized crystal structure of Cs2Rb3LiI6 (PBE-GGA).

a b c (Å): 9.1930 9.1930 9.0404
angles (deg): 99.53 99.53 119.77
Element x y z (fractional)
1 Cs 0.1689 0.8311 0.0000
2 Cs 0.8311 0.1689 0.0000
3 Rb 0.0000 0.0000 0.5000
4 Rb 0.3336 0.6664 0.5000
5 Rb 0.6664 0.3336 0.5000
6 Li 0.5000 0.5000 0.0000
7 I 0.0881 0.4080 0.7366
8 I 0.3161 0.3161 0.1957
9 I 0.4080 0.0881 0.7366
10 I 0.5920 0.9119 0.2634
11 I 0.6839 0.6839 0.8043
12 I 0.9119 0.5920 0.2634

## Properties
Its volume is 52.18 Å³ per atom. For the total moment, the calculation gives 0.00 Bohr magnetons per cell. Its crystal system is monoclinic. The density of states at the Fermi level is 0.00 states/eV/cell. As for the total energy: -32.8 eV/f.u.

***

No. 2
Entry from Alexandria: an optimized crystal structure of CsRbLiI2 (PBE-GGA).

a b c (Å): 5.9905 5.9905 6.5568
angles (deg): 90.00 90.00 90.00
Element x y z (fractional)
1 Cs 0.0000 0.0000 0.0000
2 Rb 0.5000 0.5000 0.0000
3 Li 0.0000 0.0000 0.5000
4 I 0.0000 0.5000 0.5000
5 I 0.5000 0.0000 0.5000

## Properties
Its volume is 47.06 Å³ per atom. For the total moment, the calculation gives 0.00 Bohr magnetons per cell. Its crystal system is tetragonal. The density of states at the Fermi level is 3.08 states/eV/cell. As for the total energy: -10.7 eV/f.u.

***

No. 3
Entry from Alexandria: an optimized crystal structure of CsRb2LiI6 (PBE-GGA).

a b c (Å): 9.1464 9.1464 9.1464
angles (deg): 60.00 60.00 60.00
Element x y z (fractional)
1 Cs 0.0000 0.0000 0.0000
2 Rb 0.2500 0.2500 0.2500
3 Rb 0.7500 0.7500 0.7500
4 Li 0.5000 0.5000 0.5000
5 I 0.2788 0.2788 0.7212
6 I 0.2788 0.7212 0.2788
7 I 0.2788 0.7212 0.7212
8 I 0.7212 0.2788 0.2788
9 I 0.7212 0.2788 0.7212
10 I 0.7212 0.7212 0.2788

## Properties
Its volume is 54.10 Å³ per atom. For the total moment, the calculation gives 2.00 Bohr magnetons per cell. Its crystal system is cubic. The density of states at the Fermi level is 15.18 states/eV/cell. As for the total energy: -22.8 eV/f.u.